Arrangement 1

Na2I2Cl7: optimized geometry, PBE.

N(E_F) = 6.301 states/eV/f.u.
Spin magnetization = 0.00 μB/cell

Cell: 7.013 7.013 7.644 Å, 94.24 94.24 103.71°
Element x y z (fractional)
Na 0.234 0.766 0.000
Na 0.766 0.234 0.000
I 0.199 0.199 0.516
I 0.801 0.801 0.484
Cl 0.077 0.401 0.812
Cl 0.164 0.164 0.194
Cl 0.401 0.077 0.812
Cl 0.500 0.500 0.500
Cl 0.599 0.923 0.188
Cl 0.836 0.836 0.806
Cl 0.923 0.599 0.188

***

Arrangement 2

Na2I2Cl7: optimized geometry, PBE.

N(E_F) = 2.139 states/eV/f.u.
Spin magnetization = 2.00 μB/cell

Cell: 7.260 13.226 7.937 Å, 90.00 102.18 90.00°
Element x y z (fractional)
Na 0.225 0.229 0.448
Na 0.225 0.271 0.948
Na 0.775 0.729 0.052
Na 0.775 0.771 0.552
I 0.290 0.577 0.214
I 0.290 0.923 0.714
I 0.710 0.077 0.286
I 0.710 0.423 0.786
Cl 0.010 0.660 0.354
Cl 0.010 0.840 0.854
Cl 0.119 0.089 0.694
Cl 0.119 0.411 0.194
Cl 0.482 0.740 0.242
Cl 0.482 0.760 0.742
Cl 0.500 0.000 0.500
Cl 0.500 0.500 0.000
Cl 0.518 0.240 0.258
Cl 0.518 0.260 0.758
Cl 0.881 0.589 0.806
Cl 0.881 0.911 0.306
Cl 0.990 0.160 0.146
Cl 0.990 0.340 0.646

***

It is arrangement 2 that is most stable; the runner-up trails by 0.125 eV/atom.